The following is a PBE calculation of a relaxed ZrTaSe2 crystal, from the Alexandria database.

abc: 6.251 6.251 6.251
angles: 145.30 145.30 49.88
Element x y z (fractional)
Zr: 0.000 0.000 0.000
Ta: 0.750 0.250 0.500
Se: 0.250 0.750 0.500
Se: 0.500 0.500 0.000

Values from the calculation:
Raw formation energy   -24 kJ/mol of atoms
Calculated total energy   -7.093 eV per atom
Energy relative to the lowest polymorph listed for this composition   492 meV per atom
Total magnetization   0.00 μB/f.u.
D(E_F)   3.48 states/eV per cell

---

The following is a PBE calculation of a relaxed KPb6Au3 crystal, from the Alexandria database.

abc: 10.958 4.755 11.072
angles: 90.00 94.56 90.00
Element x y z (fractional)
K: 0.093 0.250 0.253
K: 0.907 0.750 0.747
Pb: 0.087 0.250 0.921
Pb: 0.119 0.750 0.495
Pb: 0.274 0.750 0.775
Pb: 0.330 0.750 0.280
Pb: 0.390 0.250 0.044
Pb: 0.390 0.250 0.561
Pb: 0.610 0.750 0.439
Pb: 0.610 0.750 0.956
Pb: 0.670 0.250 0.720
Pb: 0.726 0.250 0.225
Pb: 0.881 0.250 0.505
Pb: 0.913 0.750 0.079
Au: 0.130 0.250 0.657
Au: 0.207 0.750 0.036
Au: 0.479 0.250 0.308
Au: 0.521 0.750 0.692
Au: 0.793 0.250 0.964
Au: 0.870 0.750 0.343

Values from the calculation:
Calculated total energy   -3.453 eV per atom
ΔE_f   -0.135 eV/atom
Total magnetization   0.00 μB/f.u.
D(E_F)   8.93 states/eV per cell

---

The following is a PBE calculation of a relaxed TaGaSiPd2 crystal, from the Alexandria database.

abc: 4.508 4.508 4.604
angles: 90.00 90.00 90.00
Element x y z (fractional)
Ta: 0.000 0.000 0.000
Ga: 0.500 0.500 0.500
Si: 0.500 0.500 0.000
Pd: 0.000 0.500 0.500
Pd: 0.500 0.000 0.500

Values from the calculation:
Raw formation energy   78 kJ/mol of atoms
Calculated total energy   -5.326 eV per atom
Total magnetization   0.00 μB/f.u.
D(E_F)   5.81 states/eV per cell

---

The following is a PBE calculation of a relaxed TcH3Ru crystal, from the Alexandria database.

abc: 3.412 3.412 3.412
angles: 90.00 90.00 90.00
Element x y z (fractional)
Tc: 0.000 0.000 0.000
H: 0.000 0.000 0.500
H: 0.000 0.500 0.000
H: 0.500 0.000 0.000
Ru: 0.500 0.500 0.500

Values from the calculation:
Calculated total energy   -5.416 eV per atom
Energy relative to the lowest polymorph listed for this composition   98 meV per atom
Total magnetization   1.31 μB/f.u.
D(E_F)   3.62 states/eV per cell

---

The following is a PBE calculation of a relaxed FeNi crystal, from the Alexandria database.

abc: 8.793 4.134 5.001
angles: 90.00 90.00 90.00
Element x y z (fractional)
Fe: 0.075 0.250 0.247
Fe: 0.175 0.750 0.995
Fe: 0.325 0.250 0.495
Fe: 0.425 0.750 0.747
Fe: 0.575 0.250 0.253
Fe: 0.675 0.750 0.505
Fe: 0.825 0.250 0.005
Fe: 0.925 0.750 0.753
Ni: 0.081 0.250 0.751
Ni: 0.169 0.750 0.494
Ni: 0.331 0.250 0.994
Ni: 0.419 0.750 0.251
Ni: 0.581 0.250 0.749
Ni: 0.669 0.750 0.006
Ni: 0.831 0.250 0.506
Ni: 0.919 0.750 0.249

Values from the calculation:
Calculated total energy   -7.145 eV per atom
ΔE_f   -0.023 eV/atom
Total magnetization   3.31 μB/f.u.
D(E_F)   16.09 states/eV per cell

---

The following is a PBE calculation of a relaxed Sm2EuSc crystal, from the Alexandria database.

abc: 5.812 5.812 3.821
angles: 90.00 90.00 90.00
Element x y z (fractional)
Sm: 0.000 0.500 0.000
Sm: 0.500 0.000 0.000
Eu: 0.000 0.000 0.500
Sc: 0.500 0.500 0.500

Values from the calculation:
Calculated total energy   -6.348 eV per atom
Energy relative to the lowest polymorph listed for this composition   99 meV per atom
ΔE_f   0.163 eV/atom
Total magnetization   7.96 μB/f.u.
D(E_F)   6.67 states/eV per cell

---

The following is a PBE calculation of a relaxed ThPa2Mn crystal, from the Alexandria database.

abc: 3.430 3.430 7.893
angles: 90.00 90.00 90.00
Element x y z (fractional)
Th: 0.000 0.000 0.000
Pa: 0.500 0.500 0.305
Pa: 0.500 0.500 0.695
Mn: 0.000 0.000 0.500

Values from the calculation:
Calculated total energy   -8.795 eV per atom
Energy relative to the lowest polymorph listed for this composition   49 meV per atom
ΔE_f   0.100 eV/atom
Total magnetization   0.73 μB/f.u.
D(E_F)   6.79 states/eV per cell

---

The following is a PBE calculation of a relaxed Ta2Be2MoRu5 crystal, from the Alexandria database.

abc: 9.386 9.386 3.110
angles: 90.00 90.00 90.00
Element x y z (fractional)
Ta: 0.174 0.326 0.000
Ta: 0.326 0.826 0.000
Ta: 0.674 0.174 0.000
Ta: 0.826 0.674 0.000
Be: 0.121 0.621 0.000
Be: 0.379 0.121 0.000
Be: 0.621 0.879 0.000
Be: 0.879 0.379 0.000
Mo: 0.000 0.000 0.000
Mo: 0.500 0.500 0.000
Ru: 0.000 0.500 0.500
Ru: 0.073 0.791 0.500
Ru: 0.209 0.073 0.500
Ru: 0.291 0.573 0.500
Ru: 0.427 0.291 0.500
Ru: 0.500 0.000 0.500
Ru: 0.573 0.709 0.500
Ru: 0.709 0.427 0.500
Ru: 0.791 0.927 0.500
Ru: 0.927 0.209 0.500

Values from the calculation:
Calculated total energy   -9.181 eV per atom
ΔE_f   -0.344 eV/atom
Total magnetization   0.00 μB/f.u.
D(E_F)   6.73 states/eV per cell

---

The following is a PBE calculation of a relaxed YNi3Sb crystal, from the Alexandria database.

abc: 4.730 4.730 4.730
angles: 90.00 90.00 90.00
Element x y z (fractional)
Y: 0.000 0.000 0.000
Ni: 0.000 0.000 0.500
Ni: 0.000 0.500 0.000
Ni: 0.500 0.000 0.000
Sb: 0.500 0.500 0.500

Values from the calculation:
Raw formation energy   104 kJ/mol of atoms
Calculated total energy   -4.513 eV per atom
Energy relative to the lowest polymorph listed for this composition   920 meV per atom
Total magnetization   0.00 μB/f.u.
D(E_F)   2.86 states/eV per cell

---

The following is a PBE calculation of a relaxed CsMgV crystal, from the Alexandria database.

abc: 7.510 3.889 14.244
angles: 90.00 90.00 90.00
Element x y z (fractional)
Cs: 0.164 0.250 0.233
Cs: 0.336 0.750 0.733
Cs: 0.664 0.250 0.267
Cs: 0.836 0.750 0.767
Mg: 0.165 0.250 0.973
Mg: 0.335 0.750 0.473
Mg: 0.665 0.250 0.527
Mg: 0.835 0.750 0.027
V: 0.044 0.250 0.519
V: 0.456 0.750 0.019
V: 0.544 0.250 0.981
V: 0.956 0.750 0.481

Values from the calculation:
Calculated total energy   -3.072 eV per atom
Energy relative to the lowest polymorph listed for this composition   288 meV per atom
ΔE_f   0.783 eV/atom
Total magnetization   0.00 μB/f.u.
D(E_F)   9.11 states/eV per cell

---

The following is a PBE calculation of a relaxed RbHg2Pt2 crystal, from the Alexandria database.

abc: 8.480 8.480 3.045
angles: 90.00 90.00 90.00
Element x y z (fractional)
Rb: 0.000 0.000 0.000
Rb: 0.500 0.500 0.000
Hg: 0.175 0.325 0.500
Hg: 0.325 0.825 0.500
Hg: 0.675 0.175 0.500
Hg: 0.825 0.675 0.500
Pt: 0.119 0.619 0.000
Pt: 0.381 0.119 0.000
Pt: 0.619 0.881 0.000
Pt: 0.881 0.381 0.000

Values from the calculation:
Calculated total energy   -2.763 eV per atom
Energy relative to the lowest polymorph listed for this composition   9 meV per atom
ΔE_f   -0.032 eV/atom
Total magnetization   0.00 μB/f.u.
D(E_F)   3.04 states/eV per cell

---

The following is a PBE calculation of a relaxed PmSm6Tm3 crystal, from the Alexandria database.

abc: 11.665 11.665 6.419
angles: 90.00 90.00 130.64
Element x y z (fractional)
Pm: 0.159 0.841 0.500
Pm: 0.841 0.159 0.000
Sm: 0.015 0.985 0.297
Sm: 0.106 0.544 0.819
Sm: 0.262 0.380 0.068
Sm: 0.301 0.699 0.287
Sm: 0.380 0.262 0.568
Sm: 0.456 0.894 0.819
Sm: 0.544 0.106 0.319
Sm: 0.620 0.738 0.068
Sm: 0.699 0.301 0.787
Sm: 0.738 0.620 0.568
Sm: 0.894 0.456 0.319
Sm: 0.985 0.015 0.797
Tm: 0.043 0.295 0.479
Tm: 0.295 0.043 0.979
Tm: 0.418 0.582 0.589
Tm: 0.582 0.418 0.089
Tm: 0.705 0.957 0.479
Tm: 0.957 0.705 0.979

Values from the calculation:
Calculated total energy   -4.520 eV per atom
Energy relative to the lowest polymorph listed for this composition   0 meV per atom
ΔE_f   0.128 eV/atom
Total magnetization   0.00 μB/f.u.
D(E_F)   29.84 states/eV per cell

---

> total magnetization of number 7 (ThPa2Mn)?

0.73 μB/f.u.